A relaxed structure of AgRu2Au, computed with PBE.

Cell: 3.292 3.292 5.877 Å, 90.00 90.00 90.00°
Space group P4/mmm (No. 123)
Inequivalent atoms, fractional coordinates:
Ag 0.000 0.000 0.000
Ru 0.500 0.500 0.254
Au 0.000 0.000 0.500

Results
The crystal system is tetragonal. The formation energy comes out at 0.74 eV/atom. As for the energy above the most stable polymorph in this dataset: 523.2 meV/atom.

A relaxed structure of CoTc, computed with PBE.

Cell: 3.6122 3.6122 5.1323 Å, 90.00 90.00 120.00°
Space group P6_3/mmc (No. 194)
Inequivalent atoms, fractional coordinates:
Co 0.3333 0.6667 0.2500
Tc 0.0000 0.0000 0.0000

Results
The crystal system is hexagonal. The formation energy comes out at 0.84 eV/atom. As for the energy above the most stable polymorph in this dataset: 884.8 meV/atom.

A relaxed structure of HPd3Pt, computed with PBE.

Cell: 6.080 9.313 9.736 Å, 90.00 107.48 90.00°
Space group C2/c (No. 15)
Inequivalent atoms, fractional coordinates:
H 0.205 0.096 0.437
Pd 0.048 0.351 0.621
Pd 0.179 0.098 0.878
Pd 0.190 0.398 0.367
Pt 0.082 0.158 0.133

Results
The crystal system is monoclinic. As for the energy above the most stable polymorph in this dataset: 45.2 meV/atom.

A relaxed structure of Tb6ErSc2, computed with PBE.

Cell: 13.393 12.948 6.531 Å, 90.00 105.07 90.00°
Space group C2/c (No. 15)
Inequivalent atoms, fractional coordinates:
Tb 0.027 0.144 0.000
Tb 0.120 0.411 0.815
Tb 0.244 0.206 0.734
Er 0.000 0.361 0.250
Sc 0.183 0.028 0.374

Results
The crystal system is monoclinic. The formation energy comes out at 0.13 eV/atom. As for the energy above the most stable polymorph in this dataset: 60.4 meV/atom.

A relaxed structure of LaCe2Rh2, computed with PBE.

Cell: 5.330 7.266 5.988 Å, 90.00 90.00 90.00°
Space group Cmmm (No. 65)
Inequivalent atoms, fractional coordinates:
La 0.000 0.000 0.000
Ce 0.000 0.193 0.500
Rh 0.000 0.500 0.250

Results
The crystal system is orthorhombic. The formation energy comes out at -0.31 eV/atom.

A relaxed structure of ZnTcRh2C, computed with PBE.

Cell: 4.513 4.513 4.673 Å, 90.00 90.00 90.00°
Space group P4/mmm (No. 123)
Inequivalent atoms, fractional coordinates:
Zn 0.000 0.000 0.000
Tc 0.000 0.000 0.500
Rh 0.000 0.500 0.000
C 0.500 0.500 0.500

Results
The crystal system is tetragonal. The formation energy comes out at 2.57 eV/atom.

A relaxed structure of Tl2OsPdO6, computed with PBE.

Cell: 6.0637 6.0637 5.3680 Å, 90.00 90.00 120.00°
Space group P-3m1 (No. 164)
Inequivalent atoms, fractional coordinates:
Tl 0.3333 0.6667 0.2787
Os 0.0000 0.0000 0.0000
Pd 0.0000 0.0000 0.5000
O 0.1428 0.2856 0.7689

Results
The crystal system is trigonal. The formation energy (no corrections) comes out at -0.592 eV per atom.

A relaxed structure of RbBaCaPd2, computed with PBE.

Cell: 5.454 5.454 5.768 Å, 90.00 90.00 90.00°
Space group P4/mmm (No. 123)
Inequivalent atoms, fractional coordinates:
Rb 0.000 0.000 0.000
Ba 0.500 0.500 0.000
Ca 0.000 0.000 0.500
Pd 0.000 0.500 0.500

Results
The crystal system is tetragonal. The formation energy comes out at 0.20 eV/atom.